First-principles (PBE) data for a relaxed LiTeCl2 crystal, as listed in the Alexandria database.

Theoretical density   3.3 g/cm3
Energy above the most stable polymorph in this dataset   353.6 meV/atom
Total energy   -2.782 eV/atom
Energy relative to the elements, uncorrected   -595 meV per atom

Lattice parameters (Å, degrees): 6.7789 6.9659 4.4027 90.00 90.00 90.00
Space group Cmmm (No. 65)
Inequivalent atoms, fractional coordinates:
Li 0.0000 0.0000 0.0000 x2
Te 0.0000 0.5000 0.0000 x2
Cl 0.2498 0.0000 0.5000 x4